Computed, not measured: an optimized crystal structure of GaAsOsO at the GGA-PBE level of DFT.

Properties
ρ (g/cm3): 9.80
V (Å³ per atom): 14.9
E (eV per atom): -6.09
Energy relative to the lowest polymorph listed for this composition (meV/atom): 220

a b c (Å): 4.406 4.862 5.551
angles (deg): 90.00 90.00 90.00
Fractional positions:
As: 0.000 0.864 0.343
As: 0.000 0.136 0.843
Ga: 0.500 0.289 0.055
Ga: 0.500 0.711 0.555
O: 0.500 0.341 0.398
O: 0.500 0.659 0.898
Os: 0.000 0.363 0.458
Os: 0.000 0.637 0.958

=====

Computed, not measured: an optimized crystal structure of GaAsOsO at the GGA-PBE level of DFT.

Properties
ρ (g/cm3): 9.86
V (Å³ per atom): 14.8
E (eV per atom): -5.67
Energy relative to the lowest polymorph listed for this composition (meV/atom): 645

a b c (Å): 3.443 3.443 9.971
angles (deg): 90.00 90.00 90.00
Fractional positions:
As: 0.750 0.750 0.252
As: 0.250 0.250 0.748
Ga: 0.750 0.250 0.500
Ga: 0.250 0.750 0.500
O: 0.750 0.250 0.000
O: 0.250 0.750 0.000
Os: 0.250 0.250 0.130
Os: 0.750 0.750 0.870

=====

Computed, not measured: an optimized crystal structure of PaGaAsO at the GGA-PBE level of DFT.

Properties
ρ (g/cm3): 7.42
V (Å³ per atom): 21.9
E (eV per atom): -5.60
Energy relative to the lowest polymorph listed for this composition (meV/atom): 979

a b c (Å): 4.180 4.180 10.035
angles (deg): 90.00 90.00 90.00
Fractional positions:
As: 0.750 0.750 0.298
As: 0.250 0.250 0.702
Ga: 0.750 0.750 0.054
Ga: 0.250 0.250 0.946
O: 0.750 0.250 0.000
O: 0.250 0.750 0.000
Pa: 0.750 0.250 0.500
Pa: 0.250 0.750 0.500

=====

Computed, not measured: an optimized crystal structure of PaGaAsO at the GGA-PBE level of DFT.

Properties
ρ (g/cm3): 7.94
V (Å³ per atom): 20.5
E (eV per atom): -6.43
Energy relative to the lowest polymorph listed for this composition (meV/atom): 151

a b c (Å): 4.216 5.787 6.712
angles (deg): 90.00 90.00 90.00
Fractional positions:
As: 0.000 0.468 0.307
As: 0.000 0.532 0.807
Ga: 0.000 0.149 0.005
Ga: 0.000 0.851 0.505
O: 0.500 0.952 0.362
O: 0.500 0.048 0.862
Pa: 0.500 0.748 0.080
Pa: 0.500 0.252 0.580

=====

Computed, not measured: an optimized crystal structure of PaGaAsO at the GGA-PBE level of DFT.

Properties
ρ (g/cm3): 8.32
V (Å³ per atom): 19.5
E (eV per atom): -6.58
Energy relative to the lowest polymorph listed for this composition (meV/atom): 0

a b c (Å): 3.885 3.885 10.358
angles (deg): 90.00 90.00 90.00
Fractional positions:
As: 0.750 0.750 0.273
As: 0.250 0.250 0.727
Ga: 0.750 0.250 0.500
Ga: 0.250 0.750 0.500
O: 0.750 0.250 0.000
O: 0.250 0.750 0.000
Pa: 0.250 0.250 0.134
Pa: 0.750 0.750 0.866

=====

Computed, not measured: an optimized crystal structure of GaAsPdO at the GGA-PBE level of DFT.

Properties
ρ (g/cm3): 6.42
V (Å³ per atom): 17.3
E (eV per atom): -4.48
Energy relative to the lowest polymorph listed for this composition (meV/atom): 645

a b c (Å): 4.047 4.047 8.440
angles (deg): 90.00 90.00 90.00
Fractional positions:
As: 0.000 0.500 0.307
As: 0.500 0.000 0.693
Ga: 0.000 0.000 0.500
Ga: 0.500 0.500 0.500
O: 0.000 0.000 0.000
O: 0.500 0.500 0.000
Pd: 0.500 0.000 0.067
Pd: 0.000 0.500 0.933

=====

Computed, not measured: an optimized crystal structure of GaAsPdO at the GGA-PBE level of DFT.

Properties
ρ (g/cm3): 7.20
V (Å³ per atom): 15.4
E (eV per atom): -5.12
Energy relative to the lowest polymorph listed for this composition (meV/atom): 0

a b c (Å): 2.965 6.775 6.134
angles (deg): 90.00 90.00 90.00
Fractional positions:
As: 0.000 0.413 0.247
As: 0.000 0.587 0.747
Ga: 0.000 0.838 0.432
Ga: 0.000 0.162 0.932
O: 0.500 0.999 0.478
O: 0.500 0.001 0.978
Pd: 0.500 0.689 0.097
Pd: 0.500 0.311 0.597

=====

Computed, not measured: an optimized crystal structure of GaAsPdO at the GGA-PBE level of DFT.

Properties
ρ (g/cm3): 6.96
V (Å³ per atom): 15.9
E (eV per atom): -5.01
Energy relative to the lowest polymorph listed for this composition (meV/atom): 112

a b c (Å): 3.736 3.736 9.134
angles (deg): 90.00 90.00 90.00
Fractional positions:
As: 0.750 0.750 0.310
As: 0.250 0.250 0.690
Ga: 0.250 0.250 0.096
Ga: 0.750 0.750 0.904
O: 0.750 0.250 0.000
O: 0.250 0.750 0.000
Pd: 0.750 0.250 0.500
Pd: 0.250 0.750 0.500

=====

Computed, not measured: an optimized crystal structure of GaAsPdO at the GGA-PBE level of DFT.

Properties
ρ (g/cm3): 6.32
V (Å³ per atom): 17.5
E (eV per atom): -5.01
Energy relative to the lowest polymorph listed for this composition (meV/atom): 109

a b c (Å): 3.971 6.924 5.105
angles (deg): 90.00 90.00 90.00
Fractional positions:
As: 0.000 0.837 0.407
As: 0.000 0.163 0.907
Ga: 0.500 0.356 0.030
Ga: 0.500 0.644 0.530
O: 0.500 0.394 0.395
O: 0.500 0.606 0.895
Pd: 0.000 0.181 0.422
Pd: 0.000 0.819 0.922

=====

Computed, not measured: an optimized crystal structure of PrGaAsO at the GGA-PBE level of DFT.

Properties
ρ (g/cm3): 5.66
V (Å³ per atom): 22.1
E (eV per atom): -5.77
Energy relative to the lowest polymorph listed for this composition (meV/atom): 181

a b c (Å): 4.766 6.181 6.008
angles (deg): 90.00 90.00 90.00
Fractional positions:
As: 0.000 0.762 0.428
As: 0.000 0.238 0.928
Ga: 0.500 0.346 0.017
Ga: 0.500 0.654 0.517
O: 0.500 0.348 0.382
O: 0.500 0.652 0.882
Pr: 0.000 0.254 0.426
Pr: 0.000 0.746 0.926

=====

Computed, not measured: an optimized crystal structure of PrGaAsO at the GGA-PBE level of DFT.

Properties
ρ (g/cm3): 6.78
V (Å³ per atom): 18.5
E (eV per atom): -5.78
Energy relative to the lowest polymorph listed for this composition (meV/atom): 165

a b c (Å): 4.608 4.612 6.952
angles (deg): 90.00 90.00 90.00
Fractional positions:
As: 0.000 0.308 0.285
As: 0.000 0.692 0.785
Ga: 0.000 0.808 0.433
Ga: 0.000 0.192 0.933
O: 0.500 0.804 0.440
O: 0.500 0.196 0.940
Pr: 0.500 0.707 0.097
Pr: 0.500 0.293 0.597

=====

Computed, not measured: an optimized crystal structure of PrGaAsO at the GGA-PBE level of DFT.

Properties
ρ (g/cm3): 5.47
V (Å³ per atom): 22.9
E (eV per atom): -4.90
Energy relative to the lowest polymorph listed for this composition (meV/atom): 1047

a b c (Å): 4.309 4.309 9.863
angles (deg): 90.00 90.00 90.00
Fractional positions:
As: 0.000 0.500 0.297
As: 0.500 0.000 0.703
Ga: 0.000 0.500 0.049
Ga: 0.500 0.000 0.951
O: 0.000 0.000 0.000
O: 0.500 0.500 0.000
Pr: 0.000 0.000 0.500
Pr: 0.500 0.500 0.500

=====

Computed, not measured: an optimized crystal structure of PrGaAsO at the GGA-PBE level of DFT.

Properties
ρ (g/cm3): 6.40
V (Å³ per atom): 19.5
E (eV per atom): -5.95
Energy relative to the lowest polymorph listed for this composition (meV/atom): 0

a b c (Å): 4.361 4.361 8.223
angles (deg): 90.00 90.00 90.00
Fractional positions:
As: 0.750 0.750 0.331
As: 0.250 0.250 0.669
Ga: 0.750 0.250 0.500
Ga: 0.250 0.750 0.500
O: 0.750 0.250 0.000
O: 0.250 0.750 0.000
Pr: 0.250 0.250 0.126
Pr: 0.750 0.750 0.874

=====

Computed, not measured: an optimized crystal structure of GaAsPtO at the GGA-PBE level of DFT.

Properties
ρ (g/cm3): 8.00
V (Å³ per atom): 18.5
E (eV per atom): -5.19
Energy relative to the lowest polymorph listed for this composition (meV/atom): 67

a b c (Å): 4.143 7.375 4.833
angles (deg): 90.00 90.00 90.00
Fractional positions:
As: 0.000 0.793 0.405
As: 0.000 0.207 0.905
Ga: 0.500 0.371 0.025
Ga: 0.500 0.629 0.525
O: 0.500 0.389 0.408
O: 0.500 0.611 0.908
Pt: 0.000 0.113 0.417
Pt: 0.000 0.887 0.917

=====

Computed, not measured: an optimized crystal structure of GaAsPtO at the GGA-PBE level of DFT.

Properties
ρ (g/cm3): 8.61
V (Å³ per atom): 17.2
E (eV per atom): -5.18
Energy relative to the lowest polymorph listed for this composition (meV/atom): 81

a b c (Å): 3.119 6.739 6.530
angles (deg): 90.00 90.00 90.00
Fractional positions:
As: 0.000 0.386 0.331
As: 0.000 0.614 0.831
Ga: 0.000 0.736 0.464
Ga: 0.000 0.264 0.964
O: 0.500 0.876 0.388
O: 0.500 0.124 0.888
Pt: 0.500 0.749 0.071
Pt: 0.500 0.251 0.571

=====

Computed, not measured: an optimized crystal structure of GaAsPtO at the GGA-PBE level of DFT.

Properties
ρ (g/cm3): 9.06
V (Å³ per atom): 16.3
E (eV per atom): -5.26
Energy relative to the lowest polymorph listed for this composition (meV/atom): 3

a b c (Å): 3.780 3.780 9.127
angles (deg): 90.00 90.00 90.00
Fractional positions:
As: 0.500 0.000 0.312
As: 0.000 0.500 0.688
Ga: 0.000 0.500 0.094
Ga: 0.500 0.000 0.906
O: 0.000 0.000 0.000
O: 0.500 0.500 0.000
Pt: 0.000 0.000 0.500
Pt: 0.500 0.500 0.500

=====

Computed, not measured: an optimized crystal structure of GaAsPtO at the GGA-PBE level of DFT.

Properties
ρ (g/cm3): 8.98
V (Å³ per atom): 16.5
E (eV per atom): -5.26
Energy relative to the lowest polymorph listed for this composition (meV/atom): 0

a b c (Å): 3.771 3.771 9.255
angles (deg): 90.00 90.00 90.00
Fractional positions:
As: 0.750 0.750 0.314
As: 0.250 0.250 0.686
Ga: 0.250 0.250 0.093
Ga: 0.750 0.750 0.907
O: 0.750 0.250 0.000
O: 0.250 0.750 0.000
Pt: 0.750 0.250 0.500
Pt: 0.250 0.750 0.500

=====

Computed, not measured: an optimized crystal structure of GaAsPtO at the GGA-PBE level of DFT.

Properties
ρ (g/cm3): 8.48
V (Å³ per atom): 17.4
E (eV per atom): -4.53
Energy relative to the lowest polymorph listed for this composition (meV/atom): 728

a b c (Å): 4.067 4.067 8.424
angles (deg): 90.00 90.00 90.00
Fractional positions:
As: 0.750 0.750 0.308
As: 0.250 0.250 0.692
Ga: 0.750 0.250 0.500
Ga: 0.250 0.750 0.500
O: 0.750 0.250 0.000
O: 0.250 0.750 0.000
Pt: 0.250 0.250 0.069
Pt: 0.750 0.750 0.931

=====

Computed, not measured: an optimized crystal structure of SmGaAsO at the GGA-PBE level of DFT.

Properties
ρ (g/cm3): 7.44
V (Å³ per atom): 17.4
E (eV per atom): -5.74
Energy relative to the lowest polymorph listed for this composition (meV/atom): 196

a b c (Å): 4.377 4.699 6.752
angles (deg): 90.00 90.00 90.00
Fractional positions:
As: 0.000 0.818 0.287
As: 0.000 0.182 0.787
Ga: 0.000 0.318 0.433
Ga: 0.000 0.682 0.933
O: 0.500 0.304 0.441
O: 0.500 0.696 0.941
Sm: 0.500 0.207 0.093
Sm: 0.500 0.793 0.593

=====

Computed, not measured: an optimized crystal structure of SmGaAsO at the GGA-PBE level of DFT.

Properties
ρ (g/cm3): 6.12
V (Å³ per atom): 21.1
E (eV per atom): -5.76
Energy relative to the lowest polymorph listed for this composition (meV/atom): 171

a b c (Å): 4.737 6.047 5.894
angles (deg): 90.00 90.00 90.00
Fractional positions:
As: 0.000 0.763 0.425
As: 0.000 0.237 0.925
Ga: 0.500 0.343 0.020
Ga: 0.500 0.657 0.520
O: 0.500 0.340 0.385
O: 0.500 0.660 0.885
Sm: 0.000 0.256 0.424
Sm: 0.000 0.744 0.924

=====

Computed, not measured: an optimized crystal structure of SmGaAsO at the GGA-PBE level of DFT.

Properties
ρ (g/cm3): 5.73
V (Å³ per atom): 22.5
E (eV per atom): -4.94
Energy relative to the lowest polymorph listed for this composition (meV/atom): 993

a b c (Å): 4.326 4.326 9.639
angles (deg): 90.00 90.00 90.00
Fractional positions:
As: 0.750 0.750 0.305
As: 0.250 0.250 0.695
Ga: 0.750 0.750 0.049
Ga: 0.250 0.250 0.951
O: 0.750 0.250 0.000
O: 0.250 0.750 0.000
Sm: 0.750 0.250 0.500
Sm: 0.250 0.750 0.500

=====

Computed, not measured: an optimized crystal structure of SmGaAsO at the GGA-PBE level of DFT.

Properties
ρ (g/cm3): 6.65
V (Å³ per atom): 19.4
E (eV per atom): -5.94
Energy relative to the lowest polymorph listed for this composition (meV/atom): 0

a b c (Å): 4.156 4.156 8.997
angles (deg): 90.00 90.00 90.00
Fractional positions:
As: 0.000 0.500 0.321
As: 0.500 0.000 0.679
Ga: 0.000 0.000 0.500
Ga: 0.500 0.500 0.500
O: 0.000 0.000 0.000
O: 0.500 0.500 0.000
Sm: 0.500 0.000 0.119
Sm: 0.000 0.500 0.881

=====

Computed, not measured: an optimized crystal structure of TaGaAsO at the GGA-PBE level of DFT.

Properties
ρ (g/cm3): 9.07
V (Å³ per atom): 15.6
E (eV per atom): -6.94
Energy relative to the lowest polymorph listed for this composition (meV/atom): 95

a b c (Å): 3.486 3.486 10.295
angles (deg): 90.00 90.00 90.00
Fractional positions:
As: 0.000 0.500 0.253
As: 0.500 0.000 0.747
Ga: 0.000 0.000 0.500
Ga: 0.500 0.500 0.500
O: 0.000 0.000 0.000
O: 0.500 0.500 0.000
Ta: 0.500 0.000 0.125
Ta: 0.000 0.500 0.875

=====

Computed, not measured: an optimized crystal structure of TaGaAsO at the GGA-PBE level of DFT.

Properties
ρ (g/cm3): 7.55
V (Å³ per atom): 18.8
E (eV per atom): -7.03
Energy relative to the lowest polymorph listed for this composition (meV/atom): 0

a b c (Å): 3.866 7.766 5.007
angles (deg): 90.00 90.00 90.00
Fractional positions:
As: 0.000 0.775 0.420
As: 0.000 0.225 0.920
Ga: 0.500 0.561 0.487
Ga: 0.500 0.439 0.987
O: 0.500 0.137 0.425
O: 0.500 0.863 0.925
Ta: 0.000 0.113 0.422
Ta: 0.000 0.887 0.922

=====

Computed, not measured: an optimized crystal structure of TaGaAsO at the GGA-PBE level of DFT.

Properties
ρ (g/cm3): 7.43
V (Å³ per atom): 19.1
E (eV per atom): -6.97
Energy relative to the lowest polymorph listed for this composition (meV/atom): 58

a b c (Å): 3.346 7.842 5.817
angles (deg): 90.00 90.00 90.00
Fractional positions:
As: 0.000 0.195 0.357
As: 0.000 0.805 0.857
Ga: 0.000 0.626 0.423
Ga: 0.000 0.374 0.923
O: 0.500 0.814 0.365
O: 0.500 0.186 0.865
Ta: 0.500 0.994 0.108
Ta: 0.500 0.006 0.608